CaPmY2: relaxed, PBE.

extended XYZ file:
```
4
Lattice="3.6677 0.0000 0.0000 0.0000 3.6677 0.0000 0.0000 0.0000 10.4171" Properties=species:S:1:pos:R:3 pbc="T T T"
Y 0.0000 0.0000 7.9889
Y 0.0000 0.0000 2.4282
Ca 1.8339 1.8339 5.2085
Pm 1.8339 1.8339 0.0000
```

Properties
- formation energy (eV per atom) = 0.07
- V (Å³/cell) = 140
- crystal system = tetragonal
- energy relative to the lowest polymorph listed for this composition (meV per atom) = 13

---

Ca2PmY: relaxed, PBE.

extended XYZ file:
```
4
Lattice="5.6024 0.0000 0.0000 0.0000 5.0993 0.0000 0.0000 0.0000 5.0993" Properties=species:S:1:pos:R:3 pbc="T T T"
Y 2.8012 0.0000 0.0000
Ca 0.0000 0.0000 2.5496
Ca 0.0000 2.5496 0.0000
Pm 2.8012 2.5496 2.5496
```

Properties
- formation energy (eV per atom) = 0.15
- V (Å³/cell) = 146
- crystal system = tetragonal
- energy relative to the lowest polymorph listed for this composition (meV per atom) = 47

---

CaPm7Y3: relaxed, PBE.

extended XYZ file:
```
11
Lattice="6.5419 0.0144 0.4365 0.4226 7.7274 1.0985 -0.0087 0.0415 7.8164" Properties=species:S:1:pos:R:3 pbc="T T T"
Ca 3.4780 3.8916 4.6757
Pm 5.2780 1.8394 2.4433
Pm 5.2543 7.1407 5.8288
Pm 1.8503 3.2920 1.2069
Pm 5.1056 4.4913 8.1445
Pm 0.2070 3.8844 4.4575
Pm 1.7016 0.6426 3.5227
Pm 1.6779 5.9439 6.9081
Y 0.3501 6.4349 2.2282
Y 3.2710 0.0072 0.2183
Y 0.0639 1.3339 6.6867
```

Properties
- formation energy (eV per atom) = 0.23
- V (Å³/cell) = 395
- crystal system = monoclinic
- energy relative to the lowest polymorph listed for this composition (meV per atom) = 16

---

CaPmY3: relaxed, PBE.

extended XYZ file:
```
10
Lattice="-2.5641 -5.2911 2.3996 5.6711 0.7845 -2.7480 4.4893 2.3380 9.9415" Properties=species:S:1:pos:R:3 pbc="T T T"
Ca 2.5156 -2.0305 5.5983
Ca 5.0807 -0.1381 3.9949
Pm -1.4654 -4.4805 1.7128
Pm 4.5724 -0.0261 -2.0612
Y 1.1603 -2.7330 2.5122
Y 6.1824 -2.9019 6.4657
Y 3.9282 -1.2857 8.6485
Y 3.6681 -0.8829 0.9446
Y 1.4139 0.7333 3.1275
Y 6.4360 0.5644 7.0810
```

Properties
- formation energy (eV per atom) = 0.20
- V (Å³/cell) = 350
- crystal system = monoclinic

---

CaPmY2: relaxed, PBE.

extended XYZ file:
```
4
Lattice="-2.9224 1.3994 -4.8145 -4.7929 -2.9371 -1.4419 -5.1969 2.5516 0.3987" Properties=species:S:1:pos:R:3 pbc="T T T"
Y -3.2281 0.2535 -1.4644
Y -9.6842 0.7604 -4.3933
Ca -6.4561 0.5069 -2.9288
Pm 0.0000 0.0000 0.0000
```

Properties
- formation energy (eV per atom) = 0.16
- V (Å³/cell) = 138
- crystal system = cubic
- energy relative to the lowest polymorph listed for this composition (meV per atom) = 104

---

Ca4PmZn5: relaxed, PBE.

extended XYZ file:
```
10
Lattice="3.6747 0.0000 0.0000 0.0000 3.6747 0.0000 0.0000 0.0000 18.3911" Properties=species:S:1:pos:R:3 pbc="T T T"
Ca 0.0000 0.0000 3.6732
Ca 0.0000 0.0000 7.3460
Ca 0.0000 0.0000 11.0451
Ca 0.0000 0.0000 14.7179
Pm 0.0000 0.0000 0.0000
Zn 1.8374 1.8374 1.7834
Zn 1.8374 1.8374 5.5175
Zn 1.8374 1.8374 9.1956
Zn 1.8374 1.8374 12.8736
Zn 1.8374 1.8374 16.6077
```

Properties
- formation energy (eV per atom) = -0.25
- V (Å³/cell) = 248
- crystal system = tetragonal

---

CaPm2Zn3: relaxed, PBE.

extended XYZ file:
```
12
Lattice="5.1778 0.0000 0.0000 -2.5889 4.4841 0.0000 0.0000 0.0000 12.6479" Properties=species:S:1:pos:R:3 pbc="T T T"
Ca 0.0000 2.9894 8.4409
Ca 2.5889 1.4947 4.2069
Pm 0.0000 0.0000 6.3239
Pm 0.0000 2.9894 2.1602
Pm 2.5889 1.4947 10.4877
Pm 0.0000 0.0000 0.0000
Zn 0.0000 2.9894 5.2752
Zn 2.5889 1.4947 1.0290
Zn 0.0000 0.0000 9.4906
Zn 0.0000 0.0000 3.1572
Zn 0.0000 2.9894 11.6188
Zn 2.5889 1.4947 7.3726
```

Properties
- formation energy (eV per atom) = -0.31
- V (Å³/cell) = 294
- crystal system = trigonal
- energy relative to the lowest polymorph listed for this composition (meV per atom) = 0

---

CaPm5Zn4: relaxed, PBE.

extended XYZ file:
```
10
Lattice="-1.1647 2.6534 2.2991 1.8418 -1.6005 2.7801 16.0568 10.8517 -4.3899" Properties=species:S:1:pos:R:3 pbc="T T T"
Ca 0.0000 0.0000 0.0000
Pm 2.6072 2.0597 1.9194
Pm 5.4565 3.9853 1.1404
Pm 8.3670 5.9523 0.3447
Pm 11.2774 7.9192 -0.4510
Pm 14.1267 9.8449 -1.2300
Zn 3.6425 2.4617 -0.9958
Zn 6.5638 4.4360 -1.7945
Zn 9.4930 6.4157 -2.5954
Zn 12.4143 8.3900 -3.3940
```

Properties
- formation energy (eV per atom) = -0.23
- V (Å³/cell) = 272
- crystal system = tetragonal

---

Ca2PmZn2: relaxed, PBE.

extended XYZ file:
```
10
Lattice="3.6670 0.0000 -0.4916 0.0000 5.2651 0.0000 0.0522 0.0000 14.3385" Properties=species:S:1:pos:R:3 pbc="T T T"
Ca 0.1631 3.9488 1.2199
Ca 3.5561 1.3163 12.6270
Ca 0.8370 3.9488 6.2560
Ca 2.8822 1.3163 7.5909
Pm 3.2041 3.9488 10.0038
Pm 0.5151 1.3163 3.8431
Zn 2.3300 3.9488 3.4641
Zn 1.3892 1.3163 10.3828
Zn 1.6942 3.9488 12.6534
Zn 2.0250 1.3163 1.1935
```

Properties
- formation energy (eV per atom) = -0.18
- V (Å³/cell) = 277
- crystal system = monoclinic

---

CaPm2Zn: relaxed, PBE.

extended XYZ file:
```
4
Lattice="5.4911 0.0000 0.0000 2.7456 4.7554 0.0000 2.7456 1.5851 4.4835" Properties=species:S:1:pos:R:3 pbc="T T T"
Zn 0.0000 0.0000 0.0000
Ca 5.4911 3.1703 2.2417
Pm 2.7456 1.5851 1.1209
Pm 8.2367 4.7554 3.3626
```

Properties
- formation energy (eV per atom) = 0.04
- V (Å³/cell) = 117
- crystal system = cubic
- energy relative to the lowest polymorph listed for this composition (meV per atom) = 156